Entry from Alexandria: a relaxed Ac2NdInS6 crystal (PBE).

Geometry as POSCAR:
```
Ac2NdInS6
1.0
7.286 0.000 0.000
3.643 6.310 0.000
3.643 2.103 6.170
Nd Ac In S
1 2 1 6
Direct
0.813 0.813 0.561
0.530 0.530 0.410
0.031 0.031 0.907
0.315 0.315 0.056
0.591 0.186 0.258
0.108 0.448 0.769
0.965 0.591 0.258
0.674 0.108 0.769
0.186 0.965 0.258
0.448 0.674 0.769
```

Results
Energy relative to the elements, uncorrected, eV/atom: -1.6728
Uncorrected energy, eV per atom: -5.722
Space-group type: R3 (146)